# 1
# CaCeNiRu PBE optimized geometry
data_CaCeNiRu
_cell_length_a 6.818
_cell_length_b 6.818
_cell_length_c 6.818
_cell_angle_alpha 90.00
_cell_angle_beta 90.00
_cell_angle_gamma 90.00
_space_group_name_H-M_alt 'F -4 3 m'
_space_group_IT_number 216
_space_group_name_Hall 'F -4 2 3'
loop_
_atom_site_label
_atom_site_fract_x
_atom_site_fract_y
_atom_site_fract_z
Ca1 0.000 0.000 0.000
Ce1 0.000 0.000 0.500
Ni1 0.250 0.250 0.250
Ru1 0.250 0.250 0.750
# Size of the total moment, μB per cell: 0.0
# Density of states at the Fermi level, states/eV/f.u.: 3.62
# Total energy, eV per atom: -5.841
# Formation energy, eV per atom: -0.093

# 2
# Ca2CeNi4Sb3 PBE optimized geometry
data_Ca2CeNi4Sb3
_cell_length_a 4.437
_cell_length_b 4.437
_cell_length_c 10.664
_cell_angle_alpha 90.00
_cell_angle_beta 90.00
_cell_angle_gamma 90.00
_space_group_name_H-M_alt 'P -4 m 2'
_space_group_IT_number 115
_space_group_name_Hall 'P -4 -2'
loop_
_atom_site_label
_atom_site_fract_x
_atom_site_fract_y
_atom_site_fract_z
Ca1 0.000 0.500 0.212
Ce1 0.000 0.000 0.500
Ni1 0.000 0.000 0.000
Ni2 0.000 0.500 0.638
Ni3 0.500 0.500 0.000
Sb1 0.000 0.500 0.874
Sb2 0.500 0.500 0.500
# E_form (uncorrected), eV/atom: -0.53
# Size of the total moment, μB per cell: 0.4
# Density of states at the Fermi level, states/eV/f.u.: 10.52
# Total energy, eV per atom: -5.078